VASP calculation (GGA-PBE) on a relaxed CePmTi2O8 crystal.

Values from the calculation:
As for the total energy: -0.6280 Ry per atom. The calculation puts the spin magnetization at 1.1 μB per cell. The value obtained for the uncorrected formation energy is -3.033 eV per atom. Its mass density is 5.46 Mg/m³.

Geometry as POSCAR:
```
CePmTi2O8
1.0
-2.6200 2.6200 5.6352
2.6200 -2.6200 5.6352
2.6200 2.6200 -5.6352
Ce Pm Ti O
1 1 2 8
Direct
0.0000 0.0000 0.0000
0.7500 0.2500 0.5000
0.2500 0.7500 0.5000
0.5000 0.5000 0.0000
0.0027 0.9153 0.5933
0.0847 0.6780 0.0874
0.1629 0.2477 0.5772
0.3220 0.4094 0.4067
0.4143 0.8371 0.0849
0.5906 0.9973 0.9126
0.6705 0.5857 0.4228
0.7523 0.3295 0.9151
```